Below is a relaxed structure of TbCe2Y3Ho6, with properties calculated at the PBE level.

Computed properties:
DFT formation energy   49 meV per atom
DOS at the Fermi energy   44.606 states/eV/cell

Unit cell a=6.1282 b=10.6122 c=11.7239 alpha=90.00 beta=100.03 gamma=90.00
Space group C2/m (No. 12)
Symmetry-distinct sites (fractional):
Tb: 0.0000 0.0000 0.0000 [2 per cell]
Ce: 0.0000 0.3334 0.0000 [4 per cell]
Y: 0.0000 0.1661 0.5000 [4 per cell]
Y: 0.0000 0.5000 0.5000 [2 per cell]
Ho: 0.2476 0.5000 0.2482 [4 per cell]
Ho: 0.2488 0.3322 0.7519 [8 per cell]

=====

Below is a relaxed structure of Sm2GaNi4Ge3, with properties calculated at the PBE level.

Computed properties:
DFT formation energy   -693 meV per atom
DOS at the Fermi energy   6.215 states/eV/cell

Unit cell a=4.1187 b=4.1187 c=9.7714 alpha=90.00 beta=90.00 gamma=90.00
Space group P-4m2 (No. 115)
Symmetry-distinct sites (fractional):
Sm: 0.0000 0.5000 0.2485 [2 per cell]
Ga: 0.0000 0.0000 0.5000 [1 per cell]
Ni: 0.0000 0.0000 0.0000 [1 per cell]
Ni: 0.0000 0.5000 0.6310 [2 per cell]
Ni: 0.5000 0.5000 0.0000 [1 per cell]
Ge: 0.0000 0.5000 0.8730 [2 per cell]
Ge: 0.5000 0.5000 0.5000 [1 per cell]

=====

Below is a relaxed structure of Pa2Ni3P4, with properties calculated at the PBE level.

Computed properties:
DFT formation energy   -854 meV per atom
DOS at the Fermi energy   26.772 states/eV/cell

Unit cell a=5.4657 b=14.1043 c=7.0599 alpha=90.00 beta=90.00 gamma=90.00
Space group Cmce (No. 64)
Symmetry-distinct sites (fractional):
Pa: 0.0000 0.1170 0.0831 [8 per cell]
Ni: 0.0000 0.0000 0.5000 [4 per cell]
Ni: 0.2500 0.2066 0.7500 [8 per cell]
P: 0.0000 0.1912 0.4518 [8 per cell]
P: 0.2500 0.0434 0.7500 [8 per cell]

=====

Below is a relaxed structure of ZrCrAgS4, with properties calculated at the PBE level.

Computed properties:
Formation energy without anion corrections   -20.62 kcal/mol of atoms

Unit cell a=6.1163 b=3.6247 c=12.8725 alpha=90.00 beta=90.98 gamma=90.00
Space group P2/m (No. 10)
Symmetry-distinct sites (fractional):
Zr: 0.0025 0.0000 0.2516 [2 per cell]
Cr: 0.4741 0.5000 0.2454 [2 per cell]
Ag: 0.0000 0.0000 0.0000 [1 per cell]
Ag: 0.5000 0.5000 0.5000 [1 per cell]
S: 0.1656 0.5000 0.3677 [2 per cell]
S: 0.1981 0.5000 0.8597 [2 per cell]
S: 0.3322 0.0000 0.1361 [2 per cell]
S: 0.3660 0.0000 0.6501 [2 per cell]

=====

Below is a relaxed structure of CdPbCl2, with properties calculated at the PBE level.

Computed properties:
Formation energy without anion corrections   -15.32 kcal/mol of atoms

Unit cell a=11.6842 b=3.5520 c=5.5674 alpha=90.00 beta=105.01 gamma=90.00
Space group Cm (No. 8)
Symmetry-distinct sites (fractional):
Cd: 0.0000 0.0000 0.0000 [2 per cell]
Pb: 0.3074 0.0000 0.6387 [2 per cell]
Cl: 0.1838 0.5000 0.0460 [2 per cell]
Cl: 0.4823 0.0000 0.3891 [2 per cell]

=====

Below is a relaxed structure of PrEr2Zn2Si2, with properties calculated at the PBE level.

Computed properties:
Formation energy without anion corrections   -10.13 kcal/mol of atoms
DOS at the Fermi energy   22.100 states/eV/cell

Unit cell a=4.0891 b=4.0891 c=33.6192 alpha=90.00 beta=90.00 gamma=120.00
Space group R-3m (No. 166, hexagonal axes)
Symmetry-distinct sites (fractional):
Pr: 0.0000 0.0000 0.0000 [3 per cell]
Er: 0.0000 0.0000 0.1236 [6 per cell]
Zn: 0.0000 0.0000 0.3974 [6 per cell]
Si: 0.0000 0.0000 0.2666 [6 per cell]

=====

Below is a relaxed structure of RbBeFe3, with properties calculated at the PBE level.

Computed properties:
DFT formation energy   1214 meV per atom
DOS at the Fermi energy   5.035 states/eV/cell

Unit cell a=4.3981 b=4.3981 c=4.3981 alpha=90.00 beta=90.00 gamma=90.00
Space group Pm-3m (No. 221)
Symmetry-distinct sites (fractional):
Rb: 0.0000 0.0000 0.0000 [1 per cell]
Be: 0.5000 0.5000 0.5000 [1 per cell]
Fe: 0.0000 0.5000 0.5000 [3 per cell]

=====

Below is a relaxed structure of Re2BF, with properties calculated at the PBE level.

Computed properties:
Formation energy without anion corrections   10.71 kcal/mol of atoms
DOS at the Fermi energy   22.011 states/eV/cell

Unit cell a=5.6264 b=5.6264 c=5.6264 alpha=90.00 beta=90.00 gamma=90.00
Space group Fm-3m (No. 225)
Symmetry-distinct sites (fractional):
Re: 0.2500 0.2500 0.2500 [8 per cell]
B: 0.0000 0.0000 0.0000 [4 per cell]
F: 0.0000 0.0000 0.5000 [4 per cell]

=====

Below is a relaxed structure of YScAl2C, with properties calculated at the PBE level.

Computed properties:
DFT formation energy   772 meV per atom
DOS at the Fermi energy   2.286 states/eV/cell

Unit cell a=5.1165 b=5.1165 c=4.2259 alpha=90.00 beta=90.00 gamma=90.00
Space group P4/mmm (No. 123)
Symmetry-distinct sites (fractional):
Y: 0.0000 0.0000 0.0000 [1 per cell]
Sc: 0.5000 0.5000 0.5000 [1 per cell]
Al: 0.0000 0.5000 0.5000 [2 per cell]
C: 0.5000 0.5000 0.0000 [1 per cell]

=====

Below is a relaxed structure of CeAl2Pd2, with properties calculated at the PBE level.

Computed properties:
DFT formation energy   -778 meV per atom
DOS at the Fermi energy   15.677 states/eV/cell

Unit cell a=4.1802 b=4.1802 c=11.0858 alpha=90.00 beta=90.00 gamma=90.00
Space group I4/mmm (No. 139)
Symmetry-distinct sites (fractional):
Ce: 0.0000 0.0000 0.0000 [2 per cell]
Al: 0.0000 0.5000 0.2500 [4 per cell]
Pd: 0.0000 0.0000 0.3785 [4 per cell]

=====

Below is a relaxed structure of LiAc2Pd3Au12, with properties calculated at the PBE level.

Computed properties:
DFT formation energy   -111 meV per atom
DOS at the Fermi energy   16.384 states/eV/cell

Unit cell a=8.6361 b=8.6361 c=20.7878 alpha=90.00 beta=90.00 gamma=120.00
Space group R-3m (No. 166, hexagonal axes)
Symmetry-distinct sites (fractional):
Li: 0.0000 0.0000 0.0000 [3 per cell]
Ac: 0.0000 0.0000 0.3771 [6 per cell]
Pd: 0.0000 0.5000 0.5000 [9 per cell]
Au: 0.0180 0.5090 0.6305 [18 per cell]
Au: 0.0494 0.5247 0.8956 [18 per cell]

=====

Below is a relaxed structure of Au2Br3F, with properties calculated at the PBE level.

Computed properties:
Formation energy without anion corrections   -6.63 kcal/mol of atoms
DOS at the Fermi energy   1.499 states/eV/cell

Unit cell a=7.1237 b=16.8997 c=7.5692 alpha=90.00 beta=115.81 gamma=90.00
Space group P2_1/c (No. 14)
Symmetry-distinct sites (fractional):
Au: 0.0131 0.0105 0.2551 [4 per cell]
Au: 0.3670 0.2117 0.2746 [4 per cell]
Br: 0.1126 0.0918 0.5843 [4 per cell]
Br: 0.1411 0.0920 0.0495 [4 per cell]
Br: 0.3948 0.7099 0.3827 [4 per cell]
F: 0.1462 0.2185 0.3734 [4 per cell]

=====

Below is a relaxed structure of AcMgNiGe2, with properties calculated at the PBE level.

Computed properties:
DFT formation energy   -539 meV per atom
DOS at the Fermi energy   3.318 states/eV/cell

Unit cell a=4.3402 b=4.3402 c=10.9956 alpha=90.00 beta=90.00 gamma=90.00
Space group I-4m2 (No. 119)
Symmetry-distinct sites (fractional):
Ac: 0.0000 0.0000 0.0000 [2 per cell]
Mg: 0.0000 0.5000 0.2500 [2 per cell]
Ni: 0.0000 0.5000 0.7500 [2 per cell]
Ge: 0.0000 0.0000 0.3793 [4 per cell]

=====

Below is a relaxed structure of La2NdSc, with properties calculated at the PBE level.

Computed properties:
DFT formation energy   67 meV per atom
DOS at the Fermi energy   19.607 states/eV/cell

Unit cell a=3.6138 b=3.6138 c=35.0682 alpha=90.00 beta=90.00 gamma=120.00
Space group R3m (No. 160, hexagonal axes)
Symmetry-distinct sites (fractional):
La: 0.0000 0.0000 0.0000 [3 per cell]
La: 0.0000 0.0000 0.1758 [3 per cell]
Nd: 0.0000 0.0000 0.7562 [3 per cell]
Sc: 0.0000 0.0000 0.5874 [3 per cell]

=====

Below is a relaxed structure of TlReSi2, with properties calculated at the PBE level.

Computed properties:
Formation energy without anion corrections   19.91 kcal/mol of atoms
DOS at the Fermi energy   5.586 states/eV/cell

Unit cell a=5.6090 b=7.3045 c=3.2729 alpha=90.00 beta=91.33 gamma=90.00
Space group C2/m (No. 12)
Symmetry-distinct sites (fractional):
Tl: 0.0000 0.0000 0.0000 [2 per cell]
Re: 0.0000 0.5000 0.0000 [2 per cell]
Si: 0.2500 0.2500 0.5000 [4 per cell]

=====

Below is a relaxed structure of GdMgGaSn, with properties calculated at the PBE level.

Computed properties:
DFT formation energy   -355 meV per atom
DOS at the Fermi energy   11.847 states/eV/cell

Unit cell a=7.2448 b=7.2448 c=7.2448 alpha=90.00 beta=90.00 gamma=90.00
Space group F-43m (No. 216)
Symmetry-distinct sites (fractional):
Gd: 0.0000 0.0000 0.0000 [4 per cell]
Mg: 0.0000 0.0000 0.5000 [4 per cell]
Ga: 0.2500 0.2500 0.7500 [4 per cell]
Sn: 0.2500 0.2500 0.2500 [4 per cell]

=====

Below is a relaxed structure of GdHoSn2, with properties calculated at the PBE level.

Computed properties:
DFT formation energy   -639 meV per atom
DOS at the Fermi energy   3.579 states/eV/cell

Unit cell a=4.8898 b=4.8898 c=4.4428 alpha=90.00 beta=90.00 gamma=90.00
Space group P4/mmm (No. 123)
Symmetry-distinct sites (fractional):
Gd: 0.0000 0.0000 0.0000 [1 per cell]
Ho: 0.5000 0.5000 0.0000 [1 per cell]
Sn: 0.0000 0.5000 0.5000 [2 per cell]

=====

Below is a relaxed structure of TaTlHg2, with properties calculated at the PBE level.

Computed properties:
DFT formation energy   441 meV per atom
DOS at the Fermi energy   1.463 states/eV/cell

Unit cell a=3.0300 b=3.0300 c=10.1462 alpha=90.00 beta=90.00 gamma=90.00
Space group P4mm (No. 99)
Symmetry-distinct sites (fractional):
Ta: 0.0000 0.0000 0.0000 [1 per cell]
Tl: 0.5000 0.5000 0.2328 [1 per cell]
Hg: 0.0000 0.0000 0.5165 [1 per cell]
Hg: 0.5000 0.5000 0.7938 [1 per cell]

=====

Below is a relaxed structure of Er8P4S3, with properties calculated at the PBE level.

Computed properties:
Formation energy without anion corrections   -39.00 kcal/mol of atoms
DOS at the Fermi energy   11.650 states/eV/cell

Unit cell a=11.0236 b=11.0474 c=7.7951 alpha=90.00 beta=134.81 gamma=90.00
Space group C2/m (No. 12)
Symmetry-distinct sites (fractional):
Er: 0.0000 0.2471 0.0000 [4 per cell]
Er: 0.0000 0.2530 0.5000 [4 per cell]
Er: 0.2475 0.0000 0.4910 [4 per cell]
Er: 0.2493 0.5000 0.9968 [4 per cell]
P: 0.0000 0.0000 0.0000 [2 per cell]
P: 0.0000 0.5000 0.5000 [2 per cell]
P: 0.2500 0.2500 0.0000 [4 per cell]
S: 0.0000 0.0000 0.5000 [2 per cell]
S: 0.2500 0.2500 0.5000 [4 per cell]

=====

Below is a relaxed structure of SiOsPt2, with properties calculated at the PBE level.

Computed properties:
Formation energy without anion corrections   2.67 kcal/mol of atoms
DOS at the Fermi energy   2.110 states/eV/cell

Unit cell a=4.7421 b=4.7421 c=2.6795 alpha=90.00 beta=90.00 gamma=90.00
Space group P4/mmm (No. 123)
Symmetry-distinct sites (fractional):
Si: 0.0000 0.0000 0.0000 [1 per cell]
Os: 0.5000 0.5000 0.0000 [1 per cell]
Pt: 0.0000 0.5000 0.5000 [2 per cell]

=====

Below is a relaxed structure of K2Sb2AsO6, with properties calculated at the PBE level.

Computed properties:
Formation energy without anion corrections   -28.10 kcal/mol of atoms
DOS at the Fermi energy   8.781 states/eV/cell

Unit cell a=9.0783 b=5.9535 c=7.0616 alpha=90.00 beta=108.36 gamma=90.00
Space group C2/m (No. 12)
Symmetry-distinct sites (fractional):
K: 0.1930 0.0000 0.1096 [4 per cell]
Sb: 0.1007 0.5000 0.2652 [4 per cell]
As: 0.0000 0.0000 0.5000 [2 per cell]
O: 0.0390 0.2432 0.7168 [8 per cell]
O: 0.2196 0.0000 0.4911 [4 per cell]

=====

Below is a relaxed structure of LaZnSN2, with properties calculated at the PBE level.

Computed properties:
Formation energy without anion corrections   2.99 kcal/mol of atoms
DOS at the Fermi energy   3.179 states/eV/cell

Unit cell a=4.0993 b=4.0993 c=4.6082 alpha=90.00 beta=90.00 gamma=90.00
Space group P4/mmm (No. 123)
Symmetry-distinct sites (fractional):
La: 0.0000 0.0000 0.0000 [1 per cell]
Zn: 0.5000 0.5000 0.5000 [1 per cell]
S: 0.5000 0.5000 0.0000 [1 per cell]
N: 0.0000 0.5000 0.5000 [2 per cell]

=====

Below is a relaxed structure of SrNbSiB2, with properties calculated at the PBE level.

Computed properties:
Formation energy without anion corrections   10.34 kcal/mol of atoms
DOS at the Fermi energy   1.406 states/eV/cell

Unit cell a=4.4654 b=4.4654 c=4.8394 alpha=90.00 beta=90.00 gamma=90.00
Space group P4/mmm (No. 123)
Symmetry-distinct sites (fractional):
Sr: 0.0000 0.0000 0.0000 [1 per cell]
Nb: 0.5000 0.5000 0.5000 [1 per cell]
Si: 0.5000 0.5000 0.0000 [1 per cell]
B: 0.0000 0.5000 0.5000 [2 per cell]

=====

Below is a relaxed structure of Mg2TaSb, with properties calculated at the PBE level.

Computed properties:
Formation energy without anion corrections   3.84 kcal/mol of atoms
DOS at the Fermi energy   5.095 states/eV/cell

Unit cell a=5.7074 b=9.8918 c=3.0509 alpha=90.00 beta=106.02 gamma=90.00
Space group C2/m (No. 12)
Symmetry-distinct sites (fractional):
Mg: 0.2500 0.2500 0.0000 [4 per cell]
Ta: 0.0000 0.0000 0.5000 [2 per cell]
Sb: 0.0000 0.5000 0.5000 [2 per cell]

=====

Below is a relaxed structure of NdScAgHg, with properties calculated at the PBE level.

Computed properties:
DFT formation energy   -323 meV per atom
DOS at the Fermi energy   17.097 states/eV/cell

Unit cell a=7.3052 b=7.3052 c=7.3052 alpha=90.00 beta=90.00 gamma=90.00
Space group F-43m (No. 216)
Symmetry-distinct sites (fractional):
Nd: 0.0000 0.0000 0.0000 [4 per cell]
Sc: 0.0000 0.0000 0.5000 [4 per cell]
Ag: 0.2500 0.2500 0.7500 [4 per cell]
Hg: 0.2500 0.2500 0.2500 [4 per cell]